Entry 1:
First-principles (PBE-GGA) data for La2Tl4Hg after structural relaxation, as listed in Alexandria.

Cell: 7.8044 7.8044 7.8044 Å, 134.85 134.85 65.77°
Last column: nearest neighbours and their distance in Å.
Fractional positions:
La1 0.1452 0.1452 0.0000  8 Tl 3.30-3.55
La2 0.8548 0.8548 0.0000  8 Tl 3.30-3.55
Tl1 0.0000 0.5000 0.5000  2 Hg 3.00, 2 Tl 3.28
Tl2 0.2500 0.7500 0.5000  2 Tl 3.28, 4 La 3.30
Tl3 0.5000 0.0000 0.5000  2 Hg 3.00, 2 Tl 3.28
Tl4 0.7500 0.2500 0.5000  2 Tl 3.28, 4 La 3.30
Hg1 0.5000 0.5000 0.0000  4 Tl 3.00

Calculated values
Its calculated volume is 235 Å³/f.u. The energy of formation from the pure elements comes out at -2.0 kcal/mol of atoms. As for the crystal system: tetragonal. The magnetic moment is 0.00 μB per formula unit. The value obtained for the calculated density is 9.1 g/cm3. The uncorrected energy comes out at -2.889 eV/atom.

***

Entry 2:
First-principles (PBE-GGA) data for LiEuCd after structural relaxation, as listed in Alexandria.

Cell: 5.0734 5.0734 3.6970 Å, 90.00 90.00 120.00°
Last column: nearest neighbours and their distance in Å.
Fractional positions:
Li1 0.0000 0.0000 0.0000  3 Cd 2.93
Eu1 0.6667 0.3333 0.5000  6 Li 3.46, 6 Cd 3.46, 2 Eu 3.70
Cd1 0.3333 0.6667 0.0000  3 Li 2.93

Calculated values
Its calculated volume is 82 Å³/f.u. The energy of formation from the pure elements comes out at -4.4 kcal/mol of atoms. As for the crystal system: hexagonal. The magnetic moment is 7.42 μB per formula unit. The value obtained for the excess energy over the best structure of this formula in the dataset is 8.4 meV per atom. The value obtained for the calculated density is 5.5 g/cm3. The uncorrected energy comes out at -4.556 eV/atom.

***

The highest magnetic moment belongs to which entry? LiEuCd

***

Among the records above, which one has the lowest energy of formation from the pure elements? LiEuCd

***

Which value of magnetic moment does entry 1 give? 0.00 μB per formula unit

***

Copy entry 1 word for word.
First-principles (PBE-GGA) data for La2Tl4Hg after structural relaxation, as listed in Alexandria.

Cell: 7.8044 7.8044 7.8044 Å, 134.85 134.85 65.77°
Last column: nearest neighbours and their distance in Å.
Fractional positions:
La1 0.1452 0.1452 0.0000  8 Tl 3.30-3.55
La2 0.8548 0.8548 0.0000  8 Tl 3.30-3.55
Tl1 0.0000 0.5000 0.5000  2 Hg 3.00, 2 Tl 3.28
Tl2 0.2500 0.7500 0.5000  2 Tl 3.28, 4 La 3.30
Tl3 0.5000 0.0000 0.5000  2 Hg 3.00, 2 Tl 3.28
Tl4 0.7500 0.2500 0.5000  2 Tl 3.28, 4 La 3.30
Hg1 0.5000 0.5000 0.0000  4 Tl 3.00

Calculated values
Its calculated volume is 235 Å³/f.u. The energy of formation from the pure elements comes out at -2.0 kcal/mol of atoms. As for the crystal system: tetragonal. The magnetic moment is 0.00 μB per formula unit. The value obtained for the calculated density is 9.1 g/cm3. The uncorrected energy comes out at -2.889 eV/atom.